# CrTcH3 | Alexandria | PBE | relaxed
# - Fermi-level density of states: 6.5 states/eV/cell
# - Energy above the most stable polymorph in this dataset: 0.143 eV per atom
data_CrTcH3
_chemical_formula_sum 'Cr1 Tc1 H3'
_space_group_name_H-M_alt 'P m -3 m'
_space_group_IT_number 221
_space_group_name_Hall '-P 4 2 3'
_cell_length_a 3.368
_cell_length_b 3.368
_cell_length_c 3.368
_cell_angle_alpha 90.00
_cell_angle_beta 90.00
_cell_angle_gamma 90.00
loop_
_atom_site_label
_atom_site_type_symbol
_atom_site_fract_x
_atom_site_fract_y
_atom_site_fract_z
_atom_site_occupancy
Cr1 Cr 0.000 0.000 0.000 1
Tc1 Tc 0.500 0.500 0.500 1
H1 H 0.000 0.500 0.500 1